Entry 1:
DFT (PBE with a Hubbard U) results for a geometry-optimized LiFeO2 structure.

```
4
Lattice="1.4821 0.8557 5.1471 -1.4821 0.8557 5.1471 0.0000 -1.7114 5.1471" Properties=species:S:1:pos:R:3 pbc="T T T"
Li 0.0000 0.0000 0.0000
Fe 0.0000 0.0000 2.6871
O 0.0000 0.0000 8.9883
O 0.0000 0.0000 11.8629
```

Results
The calculation puts the electronic total energy at -6.03 eV per atom.

Entry 2:
DFT (PBE with a Hubbard U) results for a geometry-optimized LiFeO3 structure.

```
10
Lattice="5.3509 -1.4331 0.0000 5.3509 1.4331 0.0000 -2.7483 0.0000 6.4915" Properties=species:S:1:pos:R:3 pbc="T T T"
Li 0.3163 0.0000 2.4013
Li 7.6373 0.0000 4.0902
Fe 2.8322 0.0000 1.2536
Fe 5.1215 0.0000 5.2379
O -1.1081 0.0000 6.1890
O 0.7236 0.0000 4.3986
O 4.2238 0.0000 2.5724
O 3.7298 0.0000 3.9191
O 7.2300 0.0000 2.0929
O 9.0617 0.0000 0.3025
```

Results
The calculation puts the electronic total energy at -5.59 eV per atom.

Entry 3:
DFT (PBE with a Hubbard U) results for a geometry-optimized LiFeO2 structure.

```
4
Lattice="1.4418 0.8324 4.7662 -1.4418 0.8324 4.7662 0.0000 -1.6649 4.7662" Properties=species:S:1:pos:R:3 pbc="T T T"
Li 0.0000 0.0000 0.0000
Fe 0.0000 0.0000 7.1493
O 0.0000 0.0000 3.4374
O 0.0000 0.0000 10.8612
```

Results
The calculation puts the electronic total energy at -5.76 eV per atom.

Entry 4:
DFT (PBE with a Hubbard U) results for a geometry-optimized Li5Fe5O12 structure.

```
22
Lattice="2.5370 -4.3079 0.0000 2.5370 4.3079 0.0000 -1.8342 0.0000 10.0500" Properties=species:S:1:pos:R:3 pbc="T T T"
Li 0.0000 0.0000 0.0000
Li 0.7490 1.4674 7.5017
Li 2.4908 1.4674 2.5482
Li 0.7831 -1.4802 7.4649
Li 2.4566 -1.4802 2.5851
Fe 1.6199 2.8095 5.0250
Fe 2.5370 1.4390 0.0000
Fe 1.6199 -0.0857 5.0250
Fe 2.5370 -1.4398 0.0000
Fe 1.6199 -2.9646 5.0250
O 1.5817 2.7245 1.0579
O 0.9088 1.4272 3.9368
O -0.0436 -0.1021 6.0413
O 1.6581 2.7245 8.9921
O 1.8780 -0.0167 1.0682
O 0.8706 -1.5446 3.9499
O 2.3310 1.4272 6.1131
O 1.3618 -0.0167 8.9818
O 1.6071 -2.7185 1.0585
O 3.2834 -0.1021 4.0086
O 2.3692 -1.5446 6.1001
O 1.6326 -2.7185 8.9915
```

Results
For the energy above the most stable polymorph in this dataset, the calculation gives 5 meV per atom. The calculation puts the electronic total energy at -5.74 eV per atom.

Entry 5:
DFT (PBE with a Hubbard U) results for a geometry-optimized LiFeO3 structure.

```
5
Lattice="3.7792 0.0000 0.0000 0.0000 3.7792 0.0000 0.0000 0.0000 3.7792" Properties=species:S:1:pos:R:3 pbc="T T T"
Li 0.0000 0.0000 0.0000
Fe 1.8896 1.8896 1.8896
O 0.0000 1.8896 1.8896
O 1.8896 0.0000 1.8896
O 1.8896 1.8896 0.0000
```

Results
The calculation puts the electronic total energy at -5.42 eV per atom.

Entry 6:
DFT (PBE with a Hubbard U) results for a geometry-optimized LiFeO2 structure.

```
4
Lattice="3.0218 0.0000 0.0000 0.0000 3.0218 0.0000 0.0000 0.0000 3.9458" Properties=species:S:1:pos:R:3 pbc="T T T"
Li 0.0000 0.0000 0.0000
Fe 1.5109 1.5109 1.9729
O 0.0000 0.0000 1.9729
O 1.5109 1.5109 0.0000
```

Results
The calculation puts the electronic total energy at -5.98 eV per atom.

Entry 7:
DFT (PBE with a Hubbard U) results for a geometry-optimized LiFeO2 structure.

```
20
Lattice="5.1126 0.0000 0.0000 0.7484 5.1790 0.0000 2.5056 2.2577 7.0601" Properties=species:S:1:pos:R:3 pbc="T T T"
Li 0.0000 0.0000 0.0000
Li 4.9909 6.2673 5.0446
Li 5.0690 3.5443 6.4809
Li 3.2976 3.8925 0.5792
Li 3.3757 1.1695 2.0154
Fe 1.5964 5.0682 2.7858
Fe 0.8163 2.4997 1.3365
Fe 4.1833 3.7184 3.5300
Fe 7.5503 4.9371 5.7236
Fe 6.7702 2.3686 4.2743
O 1.5985 0.6219 1.1931
O 3.2559 3.0494 5.1975
O 4.0895 5.4332 6.7221
O 3.2144 5.5048 3.8565
O 2.4708 3.0484 2.5916
O 5.8958 4.3884 4.4685
O 5.1522 1.9320 3.2036
O 4.2771 2.0036 0.3380
O 5.1107 4.3873 1.8626
O 6.7681 6.8149 5.8670
```

Results
The calculation puts the electronic total energy at -5.99 eV per atom.

Entry 8:
DFT (PBE with a Hubbard U) results for a geometry-optimized Li7Fe5O16 structure.

```
28
Lattice="5.7390 0.0000 0.0000 -2.8222 5.1559 0.0000 -0.0645 -0.4542 9.4114" Properties=species:S:1:pos:R:3 pbc="T T T"
Li 0.0000 0.0000 0.0000
Li -0.0699 -0.1561 4.9020
Li 0.0141 1.6872 2.6765
Li 0.0077 3.1637 5.6000
Li 1.4943 0.4732 7.3935
Li 2.9476 1.7235 0.9330
Li 4.2307 0.4915 7.3819
Fe -1.3831 4.1950 2.7031
Fe 0.0611 3.3818 0.1264
Fe 2.8408 1.2665 4.9179
Fe 1.4593 4.1704 2.6807
Fe 2.8579 2.9208 7.4027
O -1.2794 2.8055 1.4419
O -1.4191 3.7186 8.4674
O -0.0155 1.3539 8.7000
O 1.4483 0.6149 3.8476
O 0.0482 3.4191 3.6467
O 0.1340 4.9228 1.4421
O 1.3827 2.7555 1.4584
O 2.8824 -0.1274 6.0180
O 1.6318 2.1638 6.1218
O 1.4124 3.7098 8.4650
O 2.8754 1.4447 8.4237
O 4.2163 0.6516 3.8031
O 2.7995 3.3412 3.7318
O 4.0713 2.1913 6.0658
O 2.8952 4.6044 6.7127
O 2.8913 5.0432 1.8532
```

Results
The calculation puts the electronic total energy at -5.51 eV per atom.

Entry 9:
DFT (PBE with a Hubbard U) results for a geometry-optimized Li5FeO4 structure.

```
80
Lattice="9.2548 0.0000 0.0000 0.0000 9.3060 0.0000 0.0000 0.0000 9.2976" Properties=species:S:1:pos:R:3 pbc="T T T"
Li 0.9576 1.4538 1.0958
Li 0.9576 3.1992 5.7446
Li 0.9887 6.0206 8.1121
Li 0.9887 7.9384 3.4633
Li 1.1542 1.1199 7.9354
Li 1.1542 3.5331 3.2866
Li 1.3178 5.6497 5.6825
Li 1.3178 8.3094 1.0337
Li 1.5013 1.1034 3.6282
Li 1.5013 3.5497 8.2770
Li 3.1261 5.7564 3.6282
Li 3.1261 8.2027 8.2770
Li 3.3096 0.9966 5.6825
Li 3.3096 3.6564 1.0337
Li 3.4732 5.7729 7.9354
Li 3.4732 8.1862 3.2866
Li 3.6387 1.3676 8.1121
Li 3.6387 3.2854 3.4633
Li 3.6697 6.1068 1.0958
Li 3.6697 7.8522 5.7446
Li 5.5850 1.4538 3.5530
Li 5.5850 3.1992 8.2018
Li 5.6161 6.0206 5.8343
Li 5.6161 7.9384 1.1855
Li 5.7816 1.1199 6.0110
Li 5.7816 3.5331 1.3622
Li 5.9452 5.6497 8.2639
Li 5.9452 8.3094 3.6151
Li 6.1287 1.1034 1.0206
Li 6.1287 3.5497 5.6694
Li 7.7535 5.7564 1.0206
Li 7.7535 8.2027 5.6694
Li 7.9370 0.9966 8.2639
Li 7.9370 3.6564 3.6151
Li 8.1006 5.7729 6.0110
Li 8.1006 8.1862 1.3622
Li 8.2661 1.3676 5.8343
Li 8.2661 3.2854 1.1855
Li 8.2971 6.1068 3.5530
Li 8.2971 7.8522 8.2018
Fe 1.0929 5.7354 1.3559
Fe 1.0929 8.2237 6.0047
Fe 3.5345 1.0824 1.3559
Fe 3.5345 3.5706 6.0047
Fe 5.7203 5.7354 3.2929
Fe 5.7203 8.2237 7.9417
Fe 8.1619 1.0824 3.2929
Fe 8.1619 3.5706 7.9417
O 0.0079 6.9183 0.3017
O 0.0079 7.0408 4.9505
O 0.1543 0.0392 2.3148
O 0.1543 4.6138 6.9636
O 2.2306 6.9425 2.3057
O 2.2306 7.0166 6.9545
O 2.2746 4.9703 0.0550
O 2.2746 8.9887 4.7038
O 2.3528 0.3173 0.0550
O 2.3528 4.3357 4.7038
O 2.3968 2.2895 2.3057
O 2.3968 2.3635 6.9545
O 4.4731 4.6922 2.3148
O 4.4731 9.2669 6.9636
O 4.6195 2.2652 0.3017
O 4.6195 2.3878 4.9505
O 4.6353 6.9183 4.3471
O 4.6353 7.0408 8.9959
O 4.7817 0.0392 2.3340
O 4.7817 4.6138 6.9828
O 6.8580 6.9425 2.3431
O 6.8580 7.0166 6.9919
O 6.9020 4.9703 4.5938
O 6.9020 8.9887 9.2426
O 6.9802 0.3173 4.5938
O 6.9802 4.3357 9.2426
O 7.0242 2.2895 2.3431
O 7.0242 2.3635 6.9919
O 9.1005 4.6922 2.3340
O 9.1005 9.2669 6.9828
O 9.2469 2.2652 4.3471
O 9.2469 2.3878 8.9959
```

Results
For the energy above the most stable polymorph in this dataset, the calculation gives 0 meV per atom. The calculation puts the electronic total energy at -5.32 eV per atom.

Entry 10:
DFT (PBE with a Hubbard U) results for a geometry-optimized LiFeO2 structure.

```
16
Lattice="2.9571 -5.9121 0.0000 2.9571 5.9121 0.0000 -2.8945 0.0000 4.2250" Properties=species:S:1:pos:R:3 pbc="T T T"
Li 0.7862 5.2272 3.1688
Li 2.2335 3.7451 1.0563
Li 0.7862 -3.7451 3.1688
Li 2.2335 -5.2272 1.0563
Fe 0.7862 2.2726 3.1688
Fe 2.2335 0.7787 1.0563
Fe 0.7862 -0.7787 3.1688
Fe 2.2335 -2.2726 1.0563
O 0.7346 2.2200 1.1517
O -0.6300 0.7640 3.3302
O 0.8173 -0.7640 1.2177
O -0.7126 -2.2200 3.2642
O 3.7323 2.2200 0.9608
O 2.2024 0.7640 3.0073
O 3.6496 -0.7640 0.8948
O 2.2850 -2.2200 3.0733
```

Results
The calculation puts the electronic total energy at -5.98 eV per atom.

Entry 11:
DFT (PBE with a Hubbard U) results for a geometry-optimized Li3Fe5O12 structure.

```
20
Lattice="4.9858 0.0000 0.0000 0.0699 5.3490 0.0000 0.0078 0.6356 7.3323" Properties=species:S:1:pos:R:3 pbc="T T T"
Li 0.0000 0.0000 0.0000
Li 0.0773 5.6252 3.5872
Li 2.5535 3.3328 7.2674
Fe 0.0627 2.6359 5.1872
Fe 2.5556 5.0629 1.4218
Fe 2.5376 3.2258 3.7027
Fe 2.6315 5.5063 5.2297
Fe 4.9917 2.3514 1.4700
O 0.6530 2.7814 6.9736
O 0.8898 0.6594 1.8347
O 1.1106 4.1738 4.5479
O 1.6117 1.6873 4.4644
O 1.6714 3.3064 1.9935
O 1.9419 5.4051 6.9870
O 3.1668 4.9691 3.2567
O 3.4155 3.5934 5.4153
O 3.4804 1.1929 0.9115
O 4.0375 3.8709 0.8850
O 4.1936 2.4025 3.2817
O 4.2587 0.9417 5.5015
```

Results
For the energy above the most stable polymorph in this dataset, the calculation gives 0 meV per atom. The calculation puts the electronic total energy at -5.82 eV per atom.

Entry 12:
DFT (PBE with a Hubbard U) results for a geometry-optimized Li5Fe5O12 structure.

```
22
Lattice="4.9854 0.0000 0.0000 2.4279 4.4000 0.0000 0.5094 0.8496 10.0009" Properties=species:S:1:pos:R:3 pbc="T T T"
Li 0.0000 0.0000 0.0000
Li 1.6692 2.8181 4.9692
Li 2.4620 1.5009 2.3232
Li 4.2443 4.3366 5.0046
Li 4.9272 2.8418 0.0053
Fe 2.1418 3.7016 7.6014
Fe 2.1925 0.7876 7.6243
Fe 4.9403 2.9451 2.6037
Fe 4.6534 2.2307 7.5298
Fe 7.4159 4.4453 2.6323
O 0.6503 0.6669 6.5266
O 3.3071 3.1337 3.6688
O 3.8044 3.8489 8.6907
O 3.9899 4.2327 1.5453
O 2.9364 2.2315 6.5861
O 3.8555 0.7514 8.6085
O 5.8174 4.2611 3.6532
O 5.5069 3.6444 6.5027
O 4.3196 1.4661 1.5457
O 6.5179 3.1639 1.5298
O 5.7367 1.4940 3.5966
O 6.2241 2.3143 8.6624
```

Results
For the energy above the most stable polymorph in this dataset, the calculation gives 0 meV per atom. The calculation puts the electronic total energy at -5.75 eV per atom.